No. 1
## MgTa2Co3Bi3 (PBE)

Data for a relaxed structure of MgTa2Co3Bi3.

Cell: 7.4620 7.4805 7.4805 Å, 119.96 99.61 99.61°
Fractional coordinates of all 18 atoms:
Co (0.3908, 0.9855, 0.7953)
Co (0.3663, 0.2703, 0.4374)
Co (0.3664, 0.6207, 0.1416)
Co (0.8908, 0.7953, 0.9855)
Co (0.8664, 0.1416, 0.6207)
Co (0.8663, 0.4374, 0.2703)
Ta (0.9977, 0.5005, 0.0043)
Ta (0.4979, 0.3285, 0.1614)
Ta (0.4977, 0.0043, 0.5005)
Ta (0.9979, 0.1614, 0.3285)
Bi (0.2483, 0.5870, 0.4320)
Bi (0.7483, 0.4320, 0.5870)
Bi (0.7563, 0.0681, 0.9061)
Bi (0.2563, 0.9061, 0.0681)
Bi (0.2460, 0.2571, 0.7492)
Bi (0.7460, 0.7492, 0.2571)
Mg (0.5052, 0.6665, 0.8386)
Mg (0.0052, 0.8386, 0.6665)

Output
Uncorrected energy: -6.5616 eV per atom


No. 2
## BaErAgSe2S (PBE)

Data for a relaxed structure of BaErAgSe2S.

Cell: 7.3850 7.3850 10.4794 Å, 90.00 90.00 146.61°
Fractional coordinates of all 12 atoms:
S (0.5724, 0.4276, 0.2500)
S (0.4276, 0.5724, 0.7500)
Ag (0.9707, 0.0293, 0.2500)
Ag (0.0293, 0.9707, 0.7500)
Se (0.8628, 0.1372, 0.4532)
Se (0.1372, 0.8628, 0.5468)
Se (0.1372, 0.8628, 0.9532)
Se (0.8628, 0.1372, 0.0468)
Ba (0.7588, 0.2411, 0.7500)
Ba (0.2411, 0.7588, 0.2500)
Er (0.5000, 0.5000, 0.0000)
Er (0.5000, 0.5000, 0.5000)

Output
Uncorrected energy: -4.9795 eV per atom


No. 3
## MgCuGeIr (PBE)

Data for a relaxed structure of MgCuGeIr.

Cell: 4.3506 4.3506 4.3506 Å, 60.00 60.00 60.00°
Fractional coordinates of all 4 atoms:
Mg (0.5000, 0.5000, 0.5000)
Ge (0.0000, 0.0000, 0.0000)
Ir (0.2500, 0.2500, 0.2500)
Cu (0.7500, 0.7500, 0.7500)

Output
Distance to the lowest polymorph of the same formula: 0.00 eV per formula unit


No. 4
## Hf2CuB (PBE)

Data for a relaxed structure of Hf2CuB.

Cell: 3.4456 3.4456 12.8609 Å, 90.00 90.00 120.00°
Fractional coordinates of all 8 atoms:
B (0.0000, 0.0000, 0.5000)
B (0.0000, 0.0000, 0.0000)
Hf (0.6667, 0.3333, 0.5988)
Hf (0.3333, 0.6667, 0.0988)
Hf (0.3333, 0.6667, 0.4012)
Hf (0.6667, 0.3333, 0.9012)
Cu (0.3333, 0.6667, 0.7500)
Cu (0.6667, 0.3333, 0.2500)

Output
Uncorrected energy: -7.7848 eV per atom